P) # RuC2O2

A relaxed structure of RuC2O2 (PBE, Alexandria).

a b c (Å): 6.627 6.627 2.291
angles (deg): 90.00 90.00 90.00
Sites, in units of the cell vectors:
Ru: 0.000 0.000 0.000
Ru: 0.500 0.500 0.000
C: 0.211 0.711 0.000
C: 0.711 0.789 0.000
C: 0.789 0.289 0.000
C: 0.289 0.211 0.000
O: 0.127 0.627 0.500
O: 0.627 0.873 0.500
O: 0.873 0.373 0.500
O: 0.373 0.127 0.500

**M_tot**: 0.00 μB per formula unit
**D(E_F)**: 6.323 states/eV per cell



Q) # RuC2O2

A relaxed structure of RuC2O2 (PBE, Alexandria).

a b c (Å): 4.076 4.076 3.931
angles (deg): 58.77 58.77 90.00
Sites, in units of the cell vectors:
Ru: 0.000 0.000 0.000
C: 0.377 0.377 0.246
C: 0.623 0.623 0.754
O: 0.750 0.250 0.500
O: 0.250 0.750 0.500

**M_tot**: 0.00 μB per formula unit
**D(E_F)**: 4.368 states/eV per cell



The most stable of them is P).



P) # RuC3O

A relaxed structure of RuC3O (PBE, Alexandria).

a b c (Å): 3.923 3.923 3.923
angles (deg): 90.00 90.00 90.00
Sites, in units of the cell vectors:
Ru: 0.000 0.000 0.000
C: 0.000 0.500 0.000
C: 0.000 0.000 0.500
C: 0.500 0.000 0.000
O: 0.500 0.500 0.500

**M_tot**: 0.00 μB per formula unit
**D(E_F)**: 0.790 states/eV per cell



Q) # RuC3O

A relaxed structure of RuC3O (PBE, Alexandria).

a b c (Å): 3.492 3.492 3.492
angles (deg): 90.00 90.00 90.00
Sites, in units of the cell vectors:
Ru: 0.500 0.500 0.500
C: 0.000 0.500 0.000
C: 0.000 0.000 0.500
C: 0.500 0.000 0.000
O: 0.000 0.000 0.000

**M_tot**: 0.00 μB per formula unit
**D(E_F)**: 3.240 states/eV per cell



The most stable of them is P).



P) # SbCO2

A relaxed structure of SbCO2 (PBE, Alexandria).

a b c (Å): 6.468 6.468 6.468
angles (deg): 26.82 26.82 26.82
Sites, in units of the cell vectors:
Sb: 0.000 0.000 0.000
C: 0.500 0.500 0.500
O: 0.886 0.886 0.886
O: 0.114 0.114 0.114

**M_tot**: 0.00 μB per formula unit
**D(E_F)**: 0.601 states/eV per cell



Q) # SbCO2

A relaxed structure of SbCO2 (PBE, Alexandria).

a b c (Å): 9.164 9.164 9.164
angles (deg): 19.58 19.58 19.58
Sites, in units of the cell vectors:
Sb: 0.500 0.500 0.500
C: 0.000 0.000 0.000
O: 0.956 0.956 0.956
O: 0.044 0.044 0.044

**M_tot**: 0.00 μB per formula unit
**D(E_F)**: 1.037 states/eV per cell



The most stable of them is Q).